Entry from Alexandria via LeMat-Bulk: Pr3ZnCu after structural relaxation (PBE).

Output
Formation enthalpy at 0 K, kJ/mol of atoms: -11.53
Energy relative to the lowest polymorph listed for this composition, kJ per mole of atoms: 3.6
Size of the total moment, μB/atom: 0.00

a b c (Å): 3.857 8.284 8.870
angles (deg): 92.77 90.01 103.39
Sites, in units of the cell vectors:
Pr1 0.078 0.188 0.421
Pr2 0.424 0.881 0.635
Pr3 0.620 0.273 0.786
Pr4 0.966 0.966 0.000
Pr5 0.259 0.551 0.029
Pr6 0.785 0.602 0.393
Zn1 0.430 0.891 0.274
Zn2 0.614 0.263 0.147
Cu1 0.237 0.506 0.647
Cu2 0.808 0.649 0.775

---

Entry from Alexandria via LeMat-Bulk: LaRe2P after structural relaxation (PBE).

Output
Formation enthalpy at 0 K, kJ/mol of atoms: -35.04
Size of the total moment, μB/atom: 0.00

a b c (Å): 4.203 4.203 5.960
angles (deg): 69.36 69.36 60.01
Sites, in units of the cell vectors:
La1 0.506 0.506 0.483
P1 0.289 0.289 0.134
Re1 0.004 0.004 0.987
Re2 0.701 0.701 0.896

---

Entry from Alexandria via LeMat-Bulk: Th8Os3PdSe4 after structural relaxation (PBE).

Output
Size of the total moment, μB/atom: 0.00
Uncorrected formation energy, eV per atom: -1.06

a b c (Å): 8.273 8.778 8.273
angles (deg): 118.12 120.00 90.00
Sites, in units of the cell vectors:
Th1 0.244 0.717 0.974
Th2 0.244 0.716 0.488
Th3 0.261 0.285 0.523
Th4 0.729 0.717 0.974
Th5 0.271 0.283 0.026
Th6 0.739 0.715 0.477
Th7 0.756 0.284 0.512
Th8 0.756 0.283 0.026
Os1 0.500 0.500 0.000
Os2 0.500 0.500 0.500
Os3 0.000 0.500 0.500
Pd1 0.000 0.500 0.000
Se1 0.500 0.000 0.000
Se2 0.500 0.000 0.500
Se3 0.000 0.000 0.000
Se4 0.000 0.000 0.500

---

Entry from Alexandria via LeMat-Bulk: Li2HRh after structural relaxation (PBE).

Output
Energy relative to the lowest polymorph listed for this composition, kJ per mole of atoms: 8.2
Size of the total moment, μB/atom: 0.00

a b c (Å): 3.014 3.014 6.838
angles (deg): 90.00 90.00 120.00
Sites, in units of the cell vectors:
Li1 0.667 0.333 0.787
Li2 0.667 0.333 0.213
H1 0.000 0.000 0.500
Rh1 0.333 0.667 0.500

---

Entry from Alexandria via LeMat-Bulk: LiMg2Tc after structural relaxation (PBE).

Output
Formation enthalpy at 0 K, kJ/mol of atoms: 30.05
Energy relative to the lowest polymorph listed for this composition, kJ per mole of atoms: 14.7
Size of the total moment, μB/atom: 0.00

a b c (Å): 5.085 5.085 5.085
angles (deg): 134.09 134.09 66.94
Sites, in units of the cell vectors:
Li1 0.750 0.250 0.500
Mg1 0.000 0.000 0.000
Mg2 0.250 0.750 0.500
Tc1 0.500 0.500 0.000

---

Entry from Alexandria via LeMat-Bulk: Ta2RuPtRh after structural relaxation (PBE).

Output
Formation enthalpy at 0 K, kJ/mol of atoms: 108.44
Size of the total moment, μB/atom: 0.00

a b c (Å): 4.697 4.645 4.697
angles (deg): 90.00 90.00 90.00
Sites, in units of the cell vectors:
Ru1 0.000 0.000 0.000
Rh1 0.000 0.500 0.000
Pt1 0.500 0.500 0.500
Ta1 0.000 0.000 0.500
Ta2 0.500 0.000 0.000

---

Entry from Alexandria via LeMat-Bulk: TlZn2Os after structural relaxation (PBE).

Output
Formation enthalpy at 0 K, kJ/mol of atoms: 39.67
Energy relative to the lowest polymorph listed for this composition, kJ per mole of atoms: 3.9
Size of the total moment, μB/atom: 0.00

a b c (Å): 3.406 3.406 5.832
angles (deg): 90.00 90.00 90.00
Sites, in units of the cell vectors:
Os1 0.500 0.500 0.250
Tl1 0.500 0.500 0.750
Zn1 0.000 0.000 0.041
Zn2 0.000 0.000 0.459

---

Entry from Alexandria via LeMat-Bulk: NaAcCd2 after structural relaxation (PBE).

Output
Formation enthalpy at 0 K, kJ/mol of atoms: -15.10
Size of the total moment, μB/atom: 0.00

a b c (Å): 3.841 5.726 5.726
angles (deg): 90.00 90.00 90.00
Sites, in units of the cell vectors:
Na1 0.500 0.000 0.000
Ac1 0.500 0.500 0.500
Cd1 0.000 0.000 0.500
Cd2 0.000 0.500 0.000

---

E in eV per atom, matching the order above: -4.0612; -9.1715; -8.0662; -3.8184; -3.5558; -8.1508; -3.6249; -1.9710